{"formula": "Ta2CoW", "functional": "PBE", "state": "relaxed", "lattice": [[3.216, 0.000, 0.000], [0.000, 3.216, 0.000], [0.000, 0.000, 6.149]], "species": ["Ta", "Ta", "Co", "W"], "fractional_positions": [[0.000, 0.000, 0.000], [0.500, 0.500, 0.277], [0.500, 0.500, 0.764], [0.000, 0.000, 0.529]], "magnetic_moment_mub_per_cell": 1.4, "delta_e_f_ev_per_atom": 0.056, "relative_energy_ev_per_atom": 0.143, "e_tot_ev_per_atom": -10.885, "n_ef_per_ev_cell": 4.21}